First-principles (GGA-PBEsol) data for Na3Pr after structural relaxation, as listed in the Alexandria database.

abc: 4.9864 4.9864 11.0064
angles: 90.00 90.00 90.00
With the nearest neighbours (Å) after each atom.
Space group I4/mmm (No. 139)
Symmetry-distinct sites (fractional):
Na 0.0000 0.0000 0.0000 x2  4 Pr 3.53, 8 Na 3.71
Na 0.0000 0.5000 0.2500 x4  8 Na 3.53-3.71, 4 Pr 3.71
Pr 0.0000 0.0000 0.5000 x2  12 Na 3.53-3.71

Summary:
E_form	337	meV/atom
spin magnetization	0.000	μB per atom